22
Lattice="5.794 0.000 0.000 0.000 5.649 0.000 -0.553 0.000 10.941" Properties=species:S:1:pos:R:3 comment="V2CuO8 PBE with a Hubbard U relaxed" energy_ry_per_atom=-0.45673 pbc="T T T"
V 1.247 0.327 1.773
V 0.971 5.322 7.243
V 4.270 0.327 3.698
V 3.994 5.322 9.168
Cu 0.000 2.825 0.000
Cu -0.276 2.825 5.471
O -0.415 0.311 8.206
O -0.138 5.338 2.735
O 0.885 2.022 1.407
O 0.608 3.627 6.877
O 0.856 2.276 10.060
O 1.133 3.374 4.590
O 1.086 0.594 5.902
O 1.362 5.055 0.432
O 2.759 0.262 2.735
O 2.482 5.388 8.206
O 3.879 0.594 10.510
O 4.155 5.055 5.039
O 4.108 2.276 6.352
O 4.385 3.374 0.881
O 4.633 2.022 4.064
O 4.356 3.627 9.535